DFT (GGA+U) results for a relaxed CuWO4 crystal.

Cell: 5.625 5.625 5.625 Å, 107.53 107.53 113.44°
Atoms (fractional coordinates):
Cu: 0.000 0.000 0.000
Cu: 0.750 0.250 0.500
W: 0.225 0.725 0.500
W: 0.475 0.475 0.000
O: 0.012 0.310 0.298
O: 0.012 0.714 0.702
O: 0.060 0.262 0.798
O: 0.464 0.262 0.202
O: 0.470 0.168 0.698
O: 0.470 0.772 0.302
O: 0.522 0.720 0.802
O: 0.918 0.720 0.198

Summary:
Uncorrected energy, eV for the cell shown: -79.14
SG: I4_1md, No. 109